Entry 1:
This record from Alexandria via LeMat-Bulk describes a geometry-optimized NdSnF structure. The functional is PBE.

Values from the calculation:
Raw formation energy   -1.881 eV/atom
Magnetization   0.0 μB per cell
Uncorrected energy   -5.43 eV per atom
Fermi-level density of states   1.1 states/eV per cell
Distance to the lowest polymorph of the same formula   158 meV/atom

The structure in POSCAR format:
```
NdSnF
1.0
4.0200 0.0000 0.0000
-2.0100 3.4814 0.0000
0.0000 0.0000 5.3228
Nd Sn F
1 1 1
Direct
0.0000 0.0000 0.0000
0.3333 0.6667 0.5000
0.6667 0.3333 0.0000
```



Entry 2:
This record from Alexandria via LeMat-Bulk describes a geometry-optimized NdSnF structure. The functional is PBE.

Values from the calculation:
Raw formation energy   -1.755 eV/atom
Magnetization   0.0 μB per cell
Uncorrected energy   -5.30 eV per atom
Fermi-level density of states   0.6 states/eV per cell
Distance to the lowest polymorph of the same formula   284 meV/atom

The structure in POSCAR format:
```
NdSnF
1.0
-1.7043 1.7043 6.0025
1.7043 -1.7043 6.0025
1.7043 1.7043 -6.0025
Nd Sn F
1 1 1
Direct
0.0000 0.0000 0.0000
0.2861 0.2861 0.0000
0.5523 0.5523 0.0000
```



Entry 3:
This record from Alexandria via LeMat-Bulk describes a geometry-optimized NdSnF structure. The functional is PBE.

Values from the calculation:
Raw formation energy   -2.039 eV/atom
Magnetization   0.0 μB per cell
Uncorrected energy   -5.59 eV per atom
Fermi-level density of states   1.8 states/eV per cell
Distance to the lowest polymorph of the same formula   0 meV/atom

The structure in POSCAR format:
```
NdSnF
1.0
2.1165 -7.3062 0.0000
2.1165 7.3062 0.0000
0.0000 0.0000 4.2733
Nd Sn F
2 2 2
Direct
0.1451 0.8549 0.7500
0.8549 0.1451 0.2500
0.4375 0.5625 0.7500
0.5625 0.4375 0.2500
0.2557 0.7443 0.2500
0.7443 0.2557 0.7500
```



Entry 4:
This record from Alexandria via LeMat-Bulk describes a geometry-optimized Sr2NdF structure. The functional is PBE.

Values from the calculation:
Raw formation energy   -0.993 eV/atom
Magnetization   0.7 μB per cell
Uncorrected energy   -3.49 eV per atom
Fermi-level density of states   5.0 states/eV per cell

The structure in POSCAR format:
```
Sr2NdF
1.0
1.9061 1.1005 10.6220
-1.9061 1.1005 10.6220
0.0000 -2.2010 10.6220
Sr Nd F
2 1 1
Direct
0.1144 0.1144 0.1144
0.8856 0.8856 0.8856
0.0000 0.0000 0.0000
0.5000 0.5000 0.5000
```



Entry 5:
This record from Alexandria via LeMat-Bulk describes a geometry-optimized Nd2TaF structure. The functional is PBE.

Values from the calculation:
Raw formation energy   -0.547 eV/atom
Magnetization   1.0 μB per cell
Uncorrected energy   -6.36 eV per atom
Fermi-level density of states   3.2 states/eV per cell

The structure in POSCAR format:
```
Nd2TaF
1.0
1.5979 0.9225 10.0411
-1.5979 0.9225 10.0411
0.0000 -1.8451 10.0411
Nd Ta F
2 1 1
Direct
0.1009 0.1009 0.1009
0.8991 0.8991 0.8991
0.0000 0.0000 0.0000
0.5000 0.5000 0.5000
```



Entry 6:
This record from Alexandria via LeMat-Bulk describes a geometry-optimized TbNdF structure. The functional is PBE.

Values from the calculation:
Raw formation energy   -1.543 eV/atom
Magnetization   0.0 μB per cell
Uncorrected energy   -5.30 eV per atom
Fermi-level density of states   2.3 states/eV per cell

The structure in POSCAR format:
```
TbNdF
1.0
3.8029 0.0000 0.0000
-1.9014 3.2934 0.0000
0.0000 0.0000 5.7066
Tb Nd F
1 1 1
Direct
0.0000 0.0000 0.0000
0.6667 0.3333 0.5004
0.3333 0.6667 0.7696
```



Entry 7:
This record from Alexandria via LeMat-Bulk describes a geometry-optimized Tb2NdF11 structure. The functional is PBE.

Values from the calculation:
Raw formation energy   -3.439 eV/atom
Magnetization   4.2 μB per cell
Uncorrected energy   -5.91 eV per atom
Fermi-level density of states   26.1 states/eV per cell

The structure in POSCAR format:
```
Tb2NdF11
1.0
-4.2309 5.1790 5.7718
4.2309 -5.1790 5.7718
4.2309 5.1790 -5.7718
Tb Nd F
4 2 22
Direct
0.1890 0.1577 0.3467
0.3110 0.6577 0.9688
0.6890 0.3423 0.0312
0.8110 0.8423 0.6533
0.2500 0.7500 0.5000
0.7500 0.2500 0.5000
0.0000 0.0000 0.0000
0.0328 0.4644 0.7779
0.0536 0.8410 0.6319
0.1865 0.9644 0.4316
0.1946 0.8905 0.0851
0.2092 0.4217 0.3681
0.2908 0.6590 0.2125
0.3054 0.3905 0.6958
0.3135 0.7451 0.7779
0.4464 0.0783 0.7875
0.4672 0.2451 0.4316
0.5000 0.5000 0.0000
0.5328 0.7549 0.5684
0.5536 0.9217 0.2125
0.6865 0.2549 0.2221
0.6946 0.6095 0.3042
0.7092 0.3410 0.7875
0.7908 0.5783 0.6319
0.8054 0.1095 0.9149
0.8135 0.0356 0.5684
0.9464 0.1590 0.3681
0.9672 0.5356 0.2221
```



Entry 8:
This record from Alexandria via LeMat-Bulk describes a geometry-optimized TbNd2F structure. The functional is PBE.

Values from the calculation:
Raw formation energy   -1.135 eV/atom
Magnetization   0.0 μB per cell
Uncorrected energy   -5.14 eV per atom
Fermi-level density of states   3.2 states/eV per cell

The structure in POSCAR format:
```
TbNd2F
1.0
1.8966 1.0950 8.7158
-1.8966 1.0950 8.7158
0.0000 -2.1900 8.7158
Tb Nd F
1 2 1
Direct
0.0000 0.0000 0.0000
0.2237 0.2237 0.2237
0.7763 0.7763 0.7763
0.5000 0.5000 0.5000
```